(1)
Computed, not measured: crystalline Fe3TeAs at its relaxed geometry at the PBE-GGA level of DFT.

Summary:
total magnetic moment = 7.35 μB/f.u.
E_tot = -5.37 eV per atom

Cell and atoms, written as POSCAR:
```
Fe3TeAs
1.0
-2.1782 -4.2003 0.0284
4.0737 -2.1203 -1.1391
1.0239 -0.4999 4.5924
Fe Te As
3 1 1
Direct
0.0000 0.0000 0.5000
0.0000 0.5000 0.0000
0.5000 0.0000 0.0000
0.0000 0.0000 0.0000
0.5000 0.5000 0.5000
```

***

(2)
Computed, not measured: crystalline Fe2TeAs at its relaxed geometry at the PBE-GGA level of DFT.

Summary:
total magnetic moment = 4.87 μB/f.u.
E_tot = -6.11 eV per atom

Cell and atoms, written as POSCAR:
```
Fe2TeAs
1.0
-0.6947 2.5535 -1.6433
-0.2877 -1.8013 -2.6773
-7.1487 -1.0123 1.4493
Fe As Te
2 1 1
Direct
0.5000 0.5000 0.2007
0.0000 0.0000 0.0293
0.5000 0.5000 0.8591
0.0000 0.0000 0.4108
```

***

(3)
Computed, not measured: crystalline FeTe2As at its relaxed geometry at the PBE-GGA level of DFT.

Summary:
total magnetic moment = 2.61 μB/f.u.
E_tot = -4.42 eV per atom

Cell and atoms, written as POSCAR:
```
FeTe2As
1.0
-2.9431 -1.4862 -0.8295
1.6474 -2.0708 -2.1346
0.9121 -4.7962 5.3569
As Fe Te
1 1 2
Direct
0.5000 0.5000 0.2500
0.5000 0.5000 0.7500
0.0000 0.0000 0.5312
0.0000 0.0000 0.9688
```

***

(4)
Computed, not measured: crystalline FeTe2As at its relaxed geometry at the PBE-GGA level of DFT.

Summary:
total magnetic moment = 2.25 μB/f.u.
E_tot = -4.46 eV per atom

Cell and atoms, written as POSCAR:
```
FeTe2As
1.0
-3.2526 0.8346 0.4724
-0.8611 -2.7350 -1.0971
-1.2188 -8.1506 6.0081
Te Fe As
2 1 1
Direct
0.0000 0.6391 0.5557
0.0000 0.8609 0.9443
0.5000 0.7500 0.7500
0.5000 0.2500 0.2500
```

***

(5)
Computed, not measured: crystalline FeTe2As at its relaxed geometry at the PBE-GGA level of DFT.

Summary:
total magnetic moment = 3.17 μB/f.u.
E_tot = -4.50 eV per atom

Cell and atoms, written as POSCAR:
```
FeTe2As
1.0
-2.3525 -1.6491 -4.0800
4.7483 0.9226 -1.2259
2.1888 -4.1624 -1.6951
As Fe Te
1 1 2
Direct
0.5000 0.0000 0.5000
0.0000 0.5000 0.5000
0.5000 0.5000 0.0000
0.0000 0.0000 0.0000
```

***

(6)
Computed, not measured: crystalline Fe2TeAs at its relaxed geometry at the PBE-GGA level of DFT.

Summary:
total magnetic moment = 3.06 μB/f.u.
E_tot = -6.01 eV per atom

Cell and atoms, written as POSCAR:
```
Fe2TeAs
1.0
5.8727 -0.6500 -0.3870
5.0769 3.0227 -0.3870
5.0769 1.1001 2.8418
Fe As Te
2 1 1
Direct
0.0292 0.0292 0.0292
0.4708 0.4708 0.4708
0.7500 0.7500 0.7500
0.2500 0.2500 0.2500
```

***

(7)
Computed, not measured: crystalline FeTe2As at its relaxed geometry at the PBE-GGA level of DFT.

Summary:
total magnetic moment = 1.05 μB/f.u.
E_tot = -4.70 eV per atom

Cell and atoms, written as POSCAR:
```
FeTe2As
1.0
3.0290 0.0041 0.0000
-0.0041 3.0290 0.0000
0.0000 0.0000 10.5410
Te Fe As
2 1 1
Direct
0.5000 0.5000 0.2515
0.0000 0.0000 0.8991
0.5000 0.5000 0.7460
0.0000 0.0000 0.6035
```

***

(8)
Computed, not measured: crystalline FeTeAs at its relaxed geometry at the PBE-GGA level of DFT.

Summary:
total magnetic moment = 1.28 μB/f.u.
E_tot = -5.26 eV per atom

Cell and atoms, written as POSCAR:
```
FeTeAs
1.0
-0.7836 -3.5979 5.4247
2.0659 -2.4885 5.7033
-0.9939 2.0341 2.0743
Fe As Te
1 1 1
Direct
0.3413 0.3413 0.6587
0.9528 0.9528 0.0472
0.7059 0.7059 0.2941
```